Version P
PBE Ba3HPt, optimized geometry; DOS(E_F) = 0.76 states/eV/atom; volume = 34.98 A^3/atom
1.0
8.896 0.000 0.000
0.000 4.275 0.000
-2.109 0.000 9.198
Ba H Pt
6 2 2
Direct
0.077 0.250 0.337 Ba
0.265 0.250 0.996 Ba
0.399 0.750 0.639 Ba
0.601 0.250 0.361 Ba
0.735 0.750 0.004 Ba
0.923 0.750 0.663 Ba
0.152 0.250 0.646 H
0.848 0.750 0.354 H
0.324 0.750 0.277 Pt
0.676 0.250 0.723 Pt


Version Q
PBE Ba3HPt, optimized geometry; DOS(E_F) = 0.94 states/eV/atom; volume = 31.50 A^3/atom
1.0
5.400 0.000 0.000
0.000 5.400 0.000
0.000 0.000 5.400
Ba H Pt
3 1 1
Direct
0.000 0.000 0.500 Ba
0.000 0.500 0.000 Ba
0.500 0.000 0.000 Ba
0.000 0.000 0.000 H
0.500 0.500 0.500 Pt


Here are the energies relative to the best structure, in meV/atom: version P 0; version Q 272.


Version P
PBE BaH8Pt2, optimized geometry; DOS(E_F) = 0.12 states/eV/atom; volume = 14.08 A^3/atom
1.0
5.019 -2.624 0.000
5.019 2.624 0.000
-4.854 0.000 5.879
Ba H Pt
1 8 2
Direct
0.000 0.000 0.000 Ba
0.115 0.494 0.068 H
0.351 0.351 0.408 H
0.444 0.444 0.812 H
0.494 0.115 0.068 H
0.506 0.885 0.932 H
0.556 0.556 0.188 H
0.649 0.649 0.592 H
0.885 0.506 0.932 H
0.454 0.454 0.290 Pt
0.546 0.546 0.710 Pt


Version Q
PBE BaH8Pt2, optimized geometry; volume = 9.45 A^3/atom
1.0
2.696 -4.657 0.000
2.696 4.657 0.000
-0.017 0.000 4.138
Ba H Pt
1 8 2
Direct
0.000 0.000 0.000 Ba
0.001 0.399 0.678 H
0.333 0.667 0.000 H
0.399 0.001 0.678 H
0.409 0.409 0.311 H
0.591 0.591 0.689 H
0.601 0.999 0.322 H
0.667 0.333 0.000 H
0.999 0.601 0.322 H
0.333 0.667 0.500 Pt
0.667 0.333 0.500 Pt


Here are the energies relative to the best structure, in meV/atom: version P 0; version Q 70.


Version P
PBE BaH2Pt2, optimized geometry; DOS(E_F) = 0.67 states/eV/atom; volume = 15.49 A^3/atom
1.0
4.945 0.000 0.000
-2.473 4.283 0.000
0.000 0.000 3.658
Ba H Pt
1 2 2
Direct
0.000 0.000 0.000 Ba
0.333 0.667 0.000 H
0.667 0.333 0.000 H
0.333 0.667 0.500 Pt
0.667 0.333 0.500 Pt


Version Q
PBE BaH2Pt2, optimized geometry; DOS(E_F) = 0.37 states/eV/atom; volume = 16.99 A^3/atom
1.0
-1.956 1.956 5.549
1.956 -1.956 5.549
1.956 1.956 -5.549
Ba H Pt
1 2 2
Direct
0.000 0.000 0.000 Ba
0.250 0.750 0.500 H
0.750 0.250 0.500 H
0.272 0.272 0.000 Pt
0.728 0.728 0.000 Pt


Here are the energies relative to the best structure, in meV/atom: version P 0; version Q 104.


Version P
PBE Ba4HPt, optimized geometry; DOS(E_F) = 0.86 states/eV/atom; volume = 42.71 A^3/atom
1.0
4.471 -9.078 0.000
4.471 9.078 0.000
-4.388 0.000 6.313
Ba H Pt
8 2 2
Direct
0.059 0.450 0.751 Ba
0.171 0.313 0.247 Ba
0.313 0.171 0.747 Ba
0.450 0.059 0.251 Ba
0.550 0.941 0.749 Ba
0.687 0.829 0.253 Ba
0.829 0.687 0.753 Ba
0.941 0.550 0.249 Ba
0.181 0.819 0.750 H
0.819 0.181 0.250 H
0.316 0.684 0.250 Pt
0.684 0.316 0.750 Pt


Version Q
PBE Ba4HPt, optimized geometry; DOS(E_F) = 0.63 states/eV/atom; volume = 44.84 A^3/atom
1.0
5.279 -5.446 0.000
5.279 5.446 0.000
0.000 0.000 9.356
Ba H Pt
8 2 2
Direct
0.198 0.802 0.515 Ba
0.198 0.802 0.985 Ba
0.285 0.309 0.750 Ba
0.309 0.285 0.250 Ba
0.691 0.715 0.750 Ba
0.715 0.691 0.250 Ba
0.802 0.198 0.015 Ba
0.802 0.198 0.485 Ba
0.347 0.653 0.750 H
0.653 0.347 0.250 H
0.011 0.989 0.250 Pt
0.989 0.011 0.750 Pt


Here are the energies relative to the best structure, in meV/atom: version P 25; version Q 0.


Version P
PBE Ba2ZnHPt, optimized geometry; DOS(E_F) = 0.59 states/eV/atom; volume = 25.32 A^3/atom
1.0
5.762 0.000 0.000
0.000 5.762 0.000
0.000 0.000 3.813
Ba Zn H Pt
2 1 1 1
Direct
0.000 0.500 0.000 Ba
0.500 0.000 0.000 Ba
0.000 0.000 0.500 Zn
0.500 0.500 0.000 H
0.500 0.500 0.500 Pt


Version Q
PBE Ba2ZnHPt, optimized geometry; DOS(E_F) = 0.52 states/eV/atom; volume = 24.56 A^3/atom
1.0
5.414 0.000 0.000
0.000 5.414 0.000
0.000 0.000 4.189
Ba Zn H Pt
2 1 1 1
Direct
0.000 0.500 0.000 Ba
0.500 0.000 0.000 Ba
0.000 0.000 0.500 Zn
0.000 0.000 0.000 H
0.500 0.500 0.500 Pt


Version R
PBE Ba2ZnHPt, optimized geometry; DOS(E_F) = 0.39 states/eV/atom; volume = 27.35 A^3/atom
1.0
7.560 0.000 0.000
0.000 4.417 0.000
-2.508 0.000 8.189
Ba Zn H Pt
4 2 2 2
Direct
0.214 0.250 0.422 Ba
0.236 0.250 0.941 Ba
0.764 0.750 0.059 Ba
0.786 0.750 0.578 Ba
0.436 0.750 0.244 Zn
0.564 0.250 0.756 Zn
0.157 0.750 0.162 H
0.843 0.250 0.838 H
0.380 0.750 0.717 Pt
0.620 0.250 0.283 Pt


Here are the energies relative to the best structure, in meV/atom: version P 54; version Q 106; version R 0.


Version P
PBE RbBa2H, optimized geometry; DOS(E_F) = 1.61 states/eV/atom; volume = 52.45 A^3/atom
1.0
0.000 4.716 4.716
4.716 0.000 4.716
4.716 4.716 0.000
Rb Ba H
1 2 1
Direct
0.000 0.000 0.000 Rb
0.250 0.250 0.250 Ba
0.750 0.750 0.750 Ba
0.500 0.500 0.500 H


Version Q
PBE RbBa2H, optimized geometry; DOS(E_F) = 1.09 states/eV/atom; volume = 54.05 A^3/atom
1.0
-4.317 4.317 5.800
4.317 -4.317 5.800
4.317 4.317 -5.800
Rb Ba H
2 4 2
Direct
0.000 0.000 0.000 Rb
0.750 0.250 0.500 Rb
0.307 0.625 0.182 Ba
0.375 0.557 0.682 Ba
0.443 0.125 0.818 Ba
0.875 0.693 0.318 Ba
0.250 0.750 0.500 H
0.500 0.500 0.000 H


Version R
PBE RbBa2H, optimized geometry; DOS(E_F) = 0.90 states/eV/atom; volume = 48.92 A^3/atom
1.0
2.175 1.256 11.943
-2.175 1.256 11.943
0.000 -2.511 11.943
Rb Ba H
1 2 1
Direct
0.000 0.000 0.000 Rb
0.122 0.122 0.122 Ba
0.878 0.878 0.878 Ba
0.500 0.500 0.500 H


Here are the energies relative to the best structure, in meV/atom: version P 617; version Q 0; version R 13.